one | ## DyTh2In (PBE)

Data for a geometry-optimized DyTh2In structure.

a = 5.7386 Å, b = 6.0563 Å, c = 6.8844 Å
α = 89.20°, β = 90.00°, γ = 90.00°
Last column: nearest neighbours and their distance in Å.
Element x y z (fractional)
Th  0.7500  0.8976  0.1111  6 Th 3.42-3.51, 4 In 3.44-3.66, 2 Dy 3.49-3.55
Th  0.2500  0.5901  0.1328  4 Dy 3.41-3.52, 6 Th 3.42-3.58, 2 In 3.45-3.55
Th  0.7500  0.4099  0.8672  4 Dy 3.41-3.52, 6 Th 3.42-3.58, 2 In 3.45-3.55
Th  0.2500  0.1024  0.8889  6 Th 3.42-3.51, 4 In 3.44-3.66, 2 Dy 3.49-3.55
Dy  0.2500  0.6124  0.6272  4 In 3.34-3.56, 6 Th 3.41-3.55, 2 Dy 3.64
Dy  0.7500  0.3876  0.3728  4 In 3.34-3.56, 6 Th 3.41-3.55, 2 Dy 3.64
In  0.7500  0.9043  0.6118  4 Dy 3.34-3.56, 6 Th 3.44-3.66, 2 In 3.45
In  0.2500  0.0957  0.3882  4 Dy 3.34-3.56, 6 Th 3.44-3.66, 2 In 3.45

Values from the calculation:
**Spin magnetization**: 0.00 μB per formula unit
**Symmetry**: P2_1/m (11)

two | ## DyTh2In (PBE)

Data for a geometry-optimized DyTh2In structure.

a = 3.4899 Å, b = 3.4899 Å, c = 10.0881 Å
α = 90.00°, β = 90.00°, γ = 90.00°
Last column: nearest neighbours and their distance in Å.
Element x y z (fractional)
In  0.5000  0.5000  0.0000  8 Th 3.43, 4 In 3.49
Dy  0.5000  0.5000  0.5000  4 Dy 3.49, 8 Th 3.63
Th  0.0000  0.0000  0.2362  4 In 3.43, 4 Th 3.49, 4 Dy 3.63
Th  0.0000  0.0000  0.7638  4 In 3.43, 4 Th 3.49, 4 Dy 3.63

Values from the calculation:
**Spin magnetization**: 0.00 μB per formula unit
**Symmetry**: P4/mmm (123)

Last place for stability: two

one | ## DyTh2In (PBE)

Data for a geometry-optimized DyTh2In structure.

a = 5.5431 Å, b = 5.5431 Å, c = 5.5433 Å
α = 60.00°, β = 60.00°, γ = 60.00°
Last column: nearest neighbours and their distance in Å.
Element x y z (fractional)
In  0.5000  0.5000  0.5000  8 Th 3.39
Th  0.2500  0.2500  0.2498  4 In 3.39, 4 Dy 3.39-3.40
Th  0.7500  0.7500  0.7502  4 In 3.39, 4 Dy 3.39-3.40
Dy  0.0000  0.0000  0.0000  8 Th 3.39-3.40

Values from the calculation:
**Spin magnetization**: 0.00 μB per formula unit
**Symmetry**: Fm-3m (225)

two | ## DyTh2In (PBE)

Data for a geometry-optimized DyTh2In structure.

a = 3.5170 Å, b = 3.5170 Å, c = 11.7005 Å
α = 81.36°, β = 81.36°, γ = 60.00°
Last column: nearest neighbours and their distance in Å.
Element x y z (fractional)
Th  0.2473  0.2473  0.2580  3 In 3.44, 6 Th 3.52, 3 Dy 3.58
Th  0.0861  0.0861  0.7417  3 In 3.46, 6 Th 3.52, 3 Dy 3.62
In  0.5004  0.5004  0.4988  6 Th 3.44-3.46, 6 In 3.52
Dy  0.6661  0.6661  0.0016  6 Dy 3.52, 6 Th 3.58-3.62

Values from the calculation:
**Spin magnetization**: 0.00 μB per formula unit
**Symmetry**: R3m (160)

three | ## DyTh2In (PBE)

Data for a geometry-optimized DyTh2In structure.

a = 4.7265 Å, b = 4.6954 Å, c = 11.4961 Å
α = 90.00°, β = 101.90°, γ = 90.00°
Last column: nearest neighbours and their distance in Å.
Element x y z (fractional)
In  0.1692  0.2500  0.3367  5 Dy 3.10-3.38, 4 Th 3.37-3.38
In  0.8308  0.7500  0.6633  5 Dy 3.10-3.38, 4 Th 3.37-3.38
Th  0.9392  0.2500  0.8790  8 Th 3.33-3.62, 2 In 3.38
Th  0.0608  0.7500  0.1210  8 Th 3.33-3.62, 2 In 3.38
Th  0.4381  0.7500  0.8770  8 Th 3.33-3.63, 2 In 3.37
Th  0.5619  0.2500  0.1230  8 Th 3.33-3.63, 2 In 3.37
Dy  0.6946  0.7500  0.3876  5 In 3.10-3.38
Dy  0.3054  0.2500  0.6124  5 In 3.10-3.38

Values from the calculation:
**Spin magnetization**: 0.00 μB per formula unit
**Symmetry**: P2_1/m (11)

Last place for stability: one

one | ## Dy2ThIn (PBE)

Data for a geometry-optimized Dy2ThIn structure.

a = 4.8028 Å, b = 4.9163 Å, c = 4.9163 Å
α = 90.00°, β = 90.00°, γ = 90.00°
Last column: nearest neighbours and their distance in Å.
Element x y z (fractional)
Dy  0.0000  0.5000  0.0000  4 In 3.44, 4 Th 3.44, 4 Dy 3.48
Dy  0.0000  0.0000  0.5000  4 In 3.44, 4 Th 3.44, 4 Dy 3.48
Th  0.5000  0.5000  0.5000  8 Dy 3.44, 4 In 3.48
In  0.5000  0.0000  0.0000  8 Dy 3.44, 4 Th 3.48

Values from the calculation:
**Spin magnetization**: 0.00 μB per formula unit
**Symmetry**: P4/mmm (123)

two | ## Dy2ThIn (PBE)

Data for a geometry-optimized Dy2ThIn structure.

a = 5.4573 Å, b = 5.4573 Å, c = 5.4573 Å
α = 60.00°, β = 60.00°, γ = 60.00°
Last column: nearest neighbours and their distance in Å.
Element x y z (fractional)
Th  0.0000  0.0000  0.0000  8 Dy 3.34
Dy  0.2500  0.2500  0.2500  4 In 3.34, 4 Th 3.34
Dy  0.7500  0.7500  0.7500  4 Th 3.34, 4 In 3.34
In  0.5000  0.5000  0.5000  8 Dy 3.34

Values from the calculation:
**Spin magnetization**: 0.11 μB per formula unit
**Symmetry**: Fm-3m (225)

Last place for stability: two